1.
Compound: TaSnS4
Source: Alexandria via LeMat-Bulk
Functional: GGA-PBE
Structure: optimized geometry

Cell and atoms, written as extended XYZ:
```
12
Lattice="-1.285 -2.153 -5.860 -0.164 -5.879 2.196 -6.267 0.464 0.775" Properties=species:S:1:pos:R:3 pbc="T T T"
S -1.915 -5.595 -3.344
S -5.004 -4.703 -1.733
Sn -3.216 -2.708 1.485
S -2.713 -2.866 -1.157
S -6.414 -1.948 -2.888
Ta 0.000 0.000 0.000
S -1.303 -5.621 -0.002
S -4.402 -5.088 1.743
S -5.802 -1.973 0.454
Ta -0.725 -4.016 -1.832
S -3.315 -2.481 -4.632
Sn -3.776 -0.845 -2.543
```

Properties
- electronic total energy (eV/cell) = -70.56
- ΔE to the lowest computed polymorph (eV/atom) = 0.180

2.
Compound: TaSn2S
Source: Alexandria via LeMat-Bulk
Functional: GGA-PBE
Structure: optimized geometry

Cell and atoms, written as extended XYZ:
```
8
Lattice="-2.365 7.132 2.325 -6.625 -3.130 2.860 -3.209 1.600 5.132" Properties=species:S:1:pos:R:3 pbc="T T T"
S -7.165 0.236 5.292
Ta 0.000 0.000 0.000
Ta -5.035 5.367 5.025
Sn -5.233 -0.681 3.356
Sn -3.114 4.483 3.099
Sn -5.763 2.708 5.786
Sn -10.289 4.695 8.393
S -4.495 2.001 2.593
```

Properties
- electronic total energy (eV/cell) = -43.49

3.
Compound: TaSn2S2
Source: Alexandria via LeMat-Bulk
Functional: GGA-PBE
Structure: optimized geometry

Cell and atoms, written as extended XYZ:
```
10
Lattice="-3.180 -0.102 -0.975 0.760 -0.285 3.227 -1.528 23.976 2.480" Properties=species:S:1:pos:R:3 pbc="T T T"
S -2.149 4.274 0.884
Ta -0.935 5.770 2.446
Ta -3.012 17.819 2.285
Sn -0.640 1.148 1.968
Sn -2.718 13.197 1.807
S -1.600 16.201 3.525
S -1.798 19.315 3.847
Sn -1.230 10.391 2.924
S -2.348 7.388 1.206
Sn -3.307 22.440 2.763
```

Properties
- electronic total energy (eV/cell) = -62.30

4.
Compound: Ta2SnS
Source: Alexandria via LeMat-Bulk
Functional: GGA-PBE
Structure: optimized geometry

Cell and atoms, written as extended XYZ:
```
4
Lattice="1.264 -3.359 2.955 -1.706 -0.055 4.324 -3.060 -3.269 1.250" Properties=species:S:1:pos:R:3 pbc="T T T"
Sn -1.751 -3.341 4.265
Ta -0.876 -1.671 2.132
S 0.000 0.000 0.000
Ta -2.627 -5.012 6.397
```

Properties
- electronic total energy (eV/cell) = -31.36
- ΔE to the lowest computed polymorph (eV/atom) = 0.000

5.
Compound: TaTiSnS2
Source: Alexandria via LeMat-Bulk
Functional: GGA-PBE
Structure: optimized geometry

Cell and atoms, written as extended XYZ:
```
5
Lattice="4.643 0.000 0.000 0.000 5.669 0.000 0.000 0.000 4.643" Properties=species:S:1:pos:R:3 pbc="T T T"
S 0.000 0.000 2.322
Ta 0.000 0.000 0.000
S 2.322 0.000 0.000
Ti 2.322 2.834 2.322
Sn 0.000 2.834 0.000
```

Properties
- electronic total energy (eV/cell) = -30.82

6.
Compound: TaTl3Sn2S6
Source: Alexandria via LeMat-Bulk
Functional: GGA-PBE
Structure: optimized geometry

Cell and atoms, written as extended XYZ:
```
12
Lattice="-6.687 1.292 -1.497 1.742 -6.067 2.963 0.704 4.487 6.074" Properties=species:S:1:pos:R:3 pbc="T T T"
S -0.555 2.505 5.183
S -3.686 -2.793 2.358
Sn -1.064 -3.617 1.478
Ta 0.000 0.000 0.000
S -2.152 0.938 0.818
S 0.334 -1.233 2.133
S -4.575 0.945 5.407
S -2.089 -1.226 6.722
Tl -4.905 2.287 2.297
Tl 0.664 -2.575 5.244
Tl -2.121 -0.144 3.770
Sn -3.881 -1.158 -0.012
```

Properties
- electronic total energy (eV/cell) = -58.80

7.
Compound: ZrTaSn2S
Source: Alexandria via LeMat-Bulk
Functional: GGA-PBE
Structure: optimized geometry

Cell and atoms, written as extended XYZ:
```
5
Lattice="-5.072 -0.501 -0.866 0.763 -0.085 -4.420 0.478 -5.144 0.181" Properties=species:S:1:pos:R:3 pbc="T T T"
Sn -2.536 -0.251 -0.433
Zr -1.916 -2.865 -2.552
Ta 0.382 -0.042 -2.210
Sn 0.239 -2.572 0.091
S 0.000 0.000 0.000
```

Properties
- electronic total energy (eV/cell) = -30.40

8.
Compound: Zr2TaSnS
Source: Alexandria via LeMat-Bulk
Functional: GGA-PBE
Structure: optimized geometry

Cell and atoms, written as extended XYZ:
```
5
Lattice="-0.635 3.613 3.880 -4.986 -0.017 -0.800 -0.559 -3.931 3.569" Properties=species:S:1:pos:R:3 pbc="T T T"
Zr -0.280 -1.966 1.785
Zr -0.317 1.806 1.940
Sn 0.000 0.000 0.000
S -3.090 -0.168 3.324
Ta -2.493 -0.008 -0.400
```

Properties
- electronic total energy (eV/cell) = -29.88

9.
Compound: Tb2SnS6
Source: Alexandria via LeMat-Bulk
Functional: GGA-PBE
Structure: optimized geometry

Cell and atoms, written as extended XYZ:
```
18
Lattice="6.627 0.000 0.014 0.000 7.180 0.000 -0.796 0.000 8.503" Properties=species:S:1:pos:R:3 pbc="T T T"
S 4.691 4.799 7.880
S 0.831 2.350 3.847
S 4.180 3.421 2.371
S 4.056 1.209 4.896
S 1.775 5.971 3.621
Tb 2.875 0.919 2.261
Tb 0.041 4.509 1.997
S 1.141 2.381 0.637
S 1.651 3.759 6.146
S 0.468 0.169 6.615
S 5.000 4.830 4.670
Tb 2.957 6.261 6.256
S 2.084 5.940 0.412
S 3.747 1.240 8.105
Sn 3.314 3.590 0.007
Tb 5.790 2.671 6.520
S 5.363 7.011 1.902
Sn -0.398 0.000 4.251
```

Properties
- electronic total energy (eV/cell) = -94.68

10.
Compound: Tb4SnS2
Source: Alexandria via LeMat-Bulk
Functional: GGA-PBE
Structure: optimized geometry

Cell and atoms, written as extended XYZ:
```
14
Lattice="-1.176 3.403 1.807 -3.603 -0.548 -5.800 -9.557 -6.796 6.578" Properties=species:S:1:pos:R:3 pbc="T T T"
S -12.652 -3.851 3.509
S -5.338 -2.690 1.592
Sn -8.659 -3.147 4.781
Tb -7.855 -3.648 1.758
Tb -2.968 -1.540 0.968
Tb -11.367 -2.402 1.618
Tb -10.410 -5.465 3.517
Tb -5.366 -1.697 4.193
S -8.997 -1.252 0.993
S -1.683 -0.091 -0.924
Tb -3.925 1.523 -0.932
Tb -6.480 -0.294 0.827
Tb -0.588 1.701 0.904
Sn -5.676 -0.795 -2.196
```

Properties
- electronic total energy (eV/cell) = -81.22

11.
Compound: Tb2SnS5
Source: Alexandria via LeMat-Bulk
Functional: GGA-PBE
Structure: optimized geometry

Cell and atoms, written as extended XYZ:
```
16
Lattice="-0.262 3.200 -2.080 -6.794 -2.429 -2.881 -5.478 5.135 8.590" Properties=species:S:1:pos:R:3 pbc="T T T"
Tb -3.998 4.991 4.663
Tb -4.295 1.338 -0.919
S -6.319 0.087 -2.589
Tb -8.240 4.569 4.548
S -6.215 5.820 6.218
S -9.994 2.139 4.549
S -2.278 0.567 1.160
S -7.953 3.050 2.175
S -3.397 -1.214 -1.441
S -4.582 2.857 1.454
Sn 0.000 0.000 0.000
S -2.739 2.568 4.295
S -5.992 2.786 5.042
Sn -6.136 1.353 2.855
Tb -8.537 0.916 -1.035
S -6.281 -0.080 0.668
```

Properties
- electronic total energy (eV/cell) = -90.62
- ΔE to the lowest computed polymorph (eV/atom) = 0.000

12.
Compound: Tb3Sn5S12
Source: Alexandria via LeMat-Bulk
Functional: GGA-PBE
Structure: optimized geometry

Cell and atoms, written as extended XYZ:
```
80
Lattice="-12.254 -2.598 5.831 2.689 -9.620 -9.547 9.853 -0.241 9.684" Properties=species:S:1:pos:R:3 pbc="T T T"
S 5.759 -10.278 0.531
Tb -0.451 -7.047 -1.359
S 8.323 -9.233 2.588
S 2.000 -10.846 0.907
Sn -2.842 -10.101 -2.288
S -1.267 -6.241 5.345
Tb -6.950 -5.586 2.004
Tb -7.923 -3.536 6.330
S 0.371 -5.345 10.272
Sn 1.940 -3.992 -0.430
S -0.831 -9.914 -0.830
S -0.083 -7.114 -4.303
S -2.473 -4.909 -0.967
S 1.555 -6.217 0.623
S -1.438 -7.770 1.345
S -2.829 -7.702 -2.959
S -4.928 -10.989 -1.253
S -2.432 -3.409 12.825
S -5.471 -2.180 5.438
S -5.374 -4.991 6.772
S -3.536 -10.419 2.761
S 1.119 -2.544 6.798
Sn 3.130 -2.357 8.256
S -1.711 -1.612 5.062
S 2.720 -9.049 -6.856
Sn 0.144 -6.229 2.984
Tb 7.762 -2.940 6.816
S 7.451 -1.549 9.387
S 1.423 -8.663 3.051
Tb -7.474 -9.518 -0.847
S 8.621 -4.273 4.340
S 2.761 -7.549 6.935
S 3.824 -2.039 3.208
Sn 1.345 -4.810 -4.773
Tb -0.679 -10.516 2.073
Sn -4.782 -6.109 -1.858
S 8.265 -6.440 1.213
Tb 0.739 -5.412 7.328
S -8.333 -8.185 1.629
Tb -3.292 -4.119 4.889
S 1.726 -4.688 4.624
Sn 4.103 -4.407 3.930
Sn -1.201 -1.419 7.758
S -4.756 -3.625 2.388
S -5.569 -7.573 0.335
Sn 0.521 -9.097 -5.685
Tb 3.580 -8.339 1.079
Sn 4.926 -0.120 4.842
S 2.189 -8.393 -1.511
S -1.901 -4.065 7.479
Sn 4.180 -7.630 -2.800
S -7.163 -10.909 -3.419
S 5.004 -6.016 2.256
S -1.340 -10.480 4.966
S -0.011 -8.104 8.239
S 5.857 -4.886 5.634
Tb 0.967 -1.942 3.896
Sn -0.233 -3.361 11.654
S 3.117 -4.756 8.928
Sn 0.000 0.000 0.000
S 5.044 -8.834 3.580
S 4.948 -9.071 -4.681
S -1.135 -3.795 2.918
Sn -3.815 -8.051 2.038
Sn 2.979 -9.049 4.958
S 5.216 -1.470 7.222
Tb 8.211 -8.923 -0.362
Sn -3.892 -4.828 8.768
S -4.659 -3.387 10.650
S 0.300 -4.354 -2.270
S -4.716 -6.442 3.713
Sn -6.127 -1.299 2.916
S 5.662 -7.467 -0.804
Sn -1.652 -8.466 6.399
S -7.977 -6.018 4.755
S -8.035 -3.225 3.380
Tb 7.238 -6.872 3.965
Sn -2.691 -3.409 1.011
S 1.628 -1.978 1.002
Sn 6.271 -4.930 0.069
```

Properties
- electronic total energy (eV/cell) = -405.71

13.
Compound: Tb7SnS5
Source: Alexandria via LeMat-Bulk
Functional: GGA-PBE
Structure: optimized geometry

Cell and atoms, written as extended XYZ:
```
26
Lattice="-0.529 0.112 3.937 -0.112 -6.553 -1.840 23.302 -1.283 3.168" Properties=species:S:1:pos:R:3 pbc="T T T"
Tb 5.462 -6.594 0.916
S 2.957 -0.700 2.423
S 19.704 -7.030 2.843
S 21.237 -4.084 4.974
Tb 10.441 -2.316 3.473
S 14.562 -6.749 2.144
S 0.000 -0.004 0.000
Tb 18.775 -5.211 4.674
Tb 8.483 -5.729 3.304
Tb 0.475 -1.768 2.118
S 1.423 -3.647 0.292
S 11.651 -0.645 1.584
Tb 14.177 -2.003 1.961
Tb 2.025 -5.374 2.426
Tb 17.199 -1.137 4.349
Tb 20.636 -2.357 2.839
Sn 5.334 -4.198 2.839
S 12.845 -3.622 3.833
Tb 22.186 -5.963 3.148
Tb 3.885 -2.520 0.591
S 9.816 -4.109 1.433
Sn 17.326 -3.533 2.427
S 8.098 -0.982 3.122
Tb 7.500 -2.718 1.083
Tb 12.219 -5.415 1.792
Tb 15.161 -5.013 4.183
```

Properties
- electronic total energy (eV/cell) = -157.99

14.
Compound: Tb6SnS4
Source: Alexandria via LeMat-Bulk
Functional: GGA-PBE
Structure: optimized geometry

Cell and atoms, written as extended XYZ:
```
22
Lattice="3.982 0.000 0.000 -1.991 6.545 0.000 0.000 0.000 20.126" Properties=species:S:1:pos:R:3 pbc="T T T"
S 1.991 4.740 10.848
Sn 1.991 2.151 5.031
S 1.991 1.230 12.516
S 1.991 1.230 17.673
Tb 0.000 4.518 5.031
Tb 0.000 0.527 6.875
S 0.000 1.805 9.277
Tb 1.991 6.018 13.251
Tb 0.000 0.527 3.188
Tb 1.991 0.000 10.063
Tb 1.991 6.018 16.938
Tb 1.991 3.550 8.367
Sn 0.000 4.394 15.094
Tb 0.000 2.996 18.430
S 1.991 4.740 19.340
Tb 1.991 0.000 0.000
Tb 1.991 3.550 1.696
S 0.000 1.805 0.786
Tb 1.991 2.027 15.094
Tb 0.000 2.996 11.759
S 0.000 5.315 7.610
S 0.000 5.315 2.453
```

Properties
- electronic total energy (eV/cell) = -132.39

15.
Compound: Tb3SnS6
Source: Alexandria via LeMat-Bulk
Functional: GGA-PBE
Structure: optimized geometry

Cell and atoms, written as extended XYZ:
```
20
Lattice="6.724 0.000 0.000 0.000 8.548 0.028 0.000 -1.880 8.339" Properties=species:S:1:pos:R:3 pbc="T T T"
S 4.676 4.690 0.835
Sn 3.332 6.747 1.464
S 1.314 1.978 7.532
S 4.587 1.920 3.060
S 4.587 4.113 5.813
Tb 3.266 2.312 0.720
S 1.225 2.555 2.555
S 1.314 -0.233 4.758
Tb 6.628 4.356 7.648
S 4.676 6.901 3.609
S 5.030 8.456 0.102
Sn 6.694 -0.079 6.903
Tb 6.628 0.186 2.414
S 1.225 4.748 5.307
S 0.872 6.144 1.944
Tb 2.591 2.334 4.981
Tb 5.953 4.335 3.386
Tb 3.266 6.483 5.953
S 1.668 -1.788 8.265
S 4.234 0.524 6.423
```

Properties
- electronic total energy (eV/cell) = -117.57

16.
Compound: TbSn3S6
Source: Alexandria via LeMat-Bulk
Functional: GGA-PBE
Structure: optimized geometry

Cell and atoms, written as extended XYZ:
```
20
Lattice="3.870 0.000 0.000 0.000 12.321 -0.342 0.000 -4.487 10.408" Properties=species:S:1:pos:R:3 pbc="T T T"
Sn 0.968 6.463 8.870
S 2.903 8.264 2.310
S 0.968 8.891 5.156
Sn 2.903 1.371 1.196
Sn 2.903 7.071 4.517
Sn 0.968 0.763 5.550
S 0.968 -3.187 9.423
Tb 2.903 -2.444 7.421
S 0.968 3.830 9.067
S 2.903 4.004 1.000
S 0.968 -0.430 7.757
Sn 0.968 5.700 1.395
S 2.903 11.021 0.644
S 2.903 -1.057 4.910
S 2.903 6.920 7.138
Sn 2.903 2.134 8.672
S 0.968 0.914 2.929
Tb 0.968 10.278 2.645
S 0.968 5.411 4.072
S 2.903 2.423 5.994
```

Properties
- electronic total energy (eV/cell) = -97.89

17.
Compound: Tb2SnS
Source: Alexandria via LeMat-Bulk
Functional: GGA-PBE
Structure: optimized geometry

Cell and atoms, written as extended XYZ:
```
8
Lattice="-0.281 -4.205 -0.265 -0.315 0.283 -4.149 11.381 -0.836 1.175" Properties=species:S:1:pos:R:3 pbc="T T T"
S 6.550 -3.441 -2.828
S 4.235 -1.318 -0.411
Tb 3.859 -3.274 -2.612
Tb 6.926 -1.484 -0.627
Sn 0.705 -3.079 -2.359
Tb 1.552 -1.152 -0.196
Tb 9.233 -3.607 -3.043
Sn 10.081 -1.679 -0.880
```

Properties
- electronic total energy (eV/cell) = -45.29
- ΔE to the lowest computed polymorph (eV/atom) = 0.000

Total magnetization in μB/cell, matching the order above: 0.00, 0.00, 0.00, 0.00, 0.19, 0.00, 0.00, 2.05, 3.24, 0.00, 0.00, 0.00, 0.00, 0.00, 0.00, 0.00, 0.00
Raw formation energy in meV per atom, matching the order above: -485.4, 560.5, -607.8, 118.7, 237.4, -589.6, 426.7, 1439.4, -1034.6, -1404.5, -1426.2, -899.6, -1688.0, -1627.4, -1612.8, -754.3, -1314.0